1.
V2Zn5Pd12 | the Alexandria database | PBE | optimized geometry; space-group type = C2/m, No. 12; ρ = 9.36 g/cm3; E = -4.754 eV per atom
1.0
5.785 0.000 0.000
-2.892 7.350 0.526
0.000 -1.908 6.984
Pd V Zn
12 2 5
Cartesian
1.532 0.764 4.428
0.000 5.769 5.316
2.892 5.562 1.097
1.361 4.679 3.082
-1.361 4.679 3.082
-1.417 3.417 5.840
1.475 2.025 1.670
1.417 3.417 5.840
2.892 -0.326 2.194
0.000 -0.119 6.414
4.253 0.764 4.428
4.309 2.025 1.670
4.118 0.000 0.000
1.666 0.000 0.000
0.000 4.253 0.821
0.000 2.641 3.765
2.892 2.802 3.745
2.892 1.190 6.690
0.000 -0.954 3.492



2.
La5Tb | the Alexandria database | PBE | optimized geometry; space-group type = Cmmm, No. 65; ρ = 6.59 g/cm3; excess energy over the best structure of this formula in the dataset = 0.3 kJ per mole of atoms
1.0
-2.125 3.217 3.545
-1.284 -4.114 2.963
7.556 2.557 2.208
La Tb
5 1
Cartesian
4.625 0.334 2.468
1.647 -1.892 2.703
1.242 1.775 3.003
2.905 -0.115 5.714
-1.704 -0.449 3.254
0.000 0.000 0.000



3.
LiSbTe | the Alexandria database | PBE | optimized geometry; formation energy (no corrections) = -0.4637 eV per atom; space-group type = P2_1/m, No. 11; ρ = 4.49 g/cm3; excess energy over the best structure of this formula in the dataset = 0.0 kJ per mole of atoms
1.0
4.581 -0.001 0.002
-0.001 4.869 -0.290
-0.004 0.910 8.448
Te Sb Li
2 2 2
Cartesian
3.433 4.263 5.409
1.143 1.515 2.751
1.144 1.483 -0.055
3.431 4.296 8.215
1.142 4.029 3.902
3.434 1.749 4.258



4.
Tm5Rh2Se2 | the Alexandria database | PBE | optimized geometry; formation energy (no corrections) = -1.1781 eV per atom; space-group type = Cmce, No. 64; ρ = 9.61 g/cm3
1.0
-0.192 7.392 -1.175
-5.315 -0.967 -5.220
-2.585 1.176 7.819
Tm Se Rh
10 4 4
Cartesian
-2.258 5.703 4.903
-5.798 2.727 1.736
-2.753 3.212 -3.198
-3.105 1.835 4.564
-2.294 4.873 -0.312
-4.951 6.595 2.074
-5.834 1.897 -3.479
-4.987 5.765 -3.141
-3.141 1.006 -0.650
0.000 0.000 0.000
-3.144 4.099 2.441
-2.194 0.290 2.180
-5.706 -0.081 0.419
-4.947 3.502 -1.018
-4.691 3.887 -5.238
-0.815 2.538 -1.158
-2.076 6.022 -2.890
-3.430 0.403 -3.505



5.
Ac8Ag2Rh3 | the Alexandria database | PBE | optimized geometry; space-group type = P6_3mc, No. 186; ρ = 7.55 g/cm3; E = -5.020 eV per atom
1.0
8.689 0.000 0.000
-4.345 7.525 0.000
0.000 0.000 15.749
Ac Rh Ag
16 6 4
Cartesian
0.000 5.017 2.417
4.345 2.508 10.291
0.000 7.401 5.556
0.000 2.440 10.079
2.113 1.220 2.204
2.280 3.700 13.431
4.345 0.124 13.431
-2.065 3.825 5.556
0.000 0.000 13.448
0.000 0.000 5.573
2.232 6.305 10.079
6.577 1.220 2.204
6.409 3.700 13.431
2.065 3.825 5.556
-2.232 6.305 10.079
4.345 5.086 2.204
0.000 2.461 3.910
6.558 1.230 11.784
4.345 5.064 11.784
-2.213 6.295 3.910
2.131 1.230 11.784
2.213 6.295 3.910
0.000 5.017 7.916
4.345 2.508 0.042
4.345 2.508 7.252
0.000 5.017 15.127



6.
PuNi3Ir2 | the Alexandria database | PBE | optimized geometry; space-group type = R-3m, No. 166; ρ = 15.53 g/cm3; E = -8.309 eV per atom
1.0
5.542 0.000 0.000
2.771 4.800 0.000
2.771 1.600 6.469
Ir Pu Ni
4 2 6
Cartesian
2.771 0.000 0.000
1.386 2.400 0.000
4.157 2.400 0.000
0.000 0.000 0.000
2.771 1.600 2.314
8.313 4.800 4.156
4.273 2.467 4.344
4.273 3.932 2.126
6.811 2.467 4.344
5.542 1.734 2.126
5.542 4.665 4.344
6.811 3.932 2.126



7.
Cs3AgAu4 | the Alexandria database | PBE | optimized geometry; space-group type = Imm2, No. 44; ρ = 7.95 g/cm3; E = -2.496 eV per atom
1.0
-4.042 -4.849 -3.464
7.132 -0.845 0.513
-3.662 -0.728 6.157
Cs Ag Au
3 1 4
Cartesian
-7.283 -5.272 2.546
1.750 -3.735 0.452
-3.673 -3.665 3.225
-2.109 -5.493 -0.198
4.202 -1.418 1.902
0.629 -2.333 5.161
-0.639 -1.758 2.724
-1.724 -2.796 0.237



8.
SmThNi4 | the Alexandria database | PBE | optimized geometry; space-group type = F-43m, No. 216; ρ = 10.59 g/cm3; excess energy over the best structure of this formula in the dataset = 3.1 kJ per mole of atoms
1.0
-0.318 -4.198 -2.971
4.043 -1.456 -2.845
2.635 -4.248 1.251
Ni Th Sm
4 1 1
Cartesian
4.135 -4.089 -1.366
3.975 -6.190 -2.854
1.952 -5.462 -1.429
2.656 -4.064 -3.480
0.000 0.000 0.000
1.590 -2.476 -1.141



9.
ZnAgPt2 | the Alexandria database | PBE | optimized geometry; space-group type = P4mm, No. 99; ρ = 14.91 g/cm3; E = -4.232 eV per atom
1.0
-1.846 0.764 1.986
1.557 -1.309 1.949
4.074 6.665 1.223
Ag Pt Zn
1 2 1
Cartesian
2.877 4.670 2.874
0.935 1.493 2.292
0.030 0.049 0.009
1.981 3.240 0.594



10.
Ac2In5Pd | the Alexandria database | PBE | optimized geometry; space-group type = Cmcm, No. 63; ρ = 8.25 g/cm3; E = -3.849 eV per atom
1.0
4.818 0.000 0.000
-2.409 9.292 0.000
0.000 0.000 10.201
In Ac Pd
10 4 2
Cartesian
0.000 3.571 6.181
2.409 5.720 1.081
0.000 6.682 5.358
2.409 5.720 4.019
2.409 1.483 7.650
0.000 3.571 9.120
0.000 6.682 9.942
2.409 2.610 0.258
2.409 2.610 4.842
0.000 7.808 2.550
2.409 5.711 7.650
0.000 3.581 2.550
0.000 0.000 5.100
0.000 0.000 0.000
2.409 1.185 2.550
0.000 8.107 7.650



11.
ZrCuNi2 | the Alexandria database | PBE | optimized geometry; space-group type = Fm-3m, No. 225; ρ = 8.14 g/cm3; E = -6.315 eV per atom
1.0
-4.070 -0.646 1.165
-3.143 2.224 -1.875
-2.708 -1.960 -2.677
Cu Ni Zr
1 2 1
Cartesian
0.000 0.000 0.000
-2.480 -0.096 -0.847
-7.441 -0.287 -2.540
-4.961 -0.191 -1.693



12.
CaTbBiO2 | the Alexandria database | PBE | optimized geometry; formation energy (no corrections) = -2.3424 eV per atom; space-group type = I4mm, No. 107; ρ = 6.25 g/cm3
1.0
3.928 0.000 0.000
0.000 3.928 0.000
-1.964 -1.964 7.576
O Tb Bi Ca
2 1 1 1
Cartesian
1.964 0.000 3.741
0.000 1.964 3.741
0.000 0.000 2.778
1.964 1.964 0.062
1.964 1.964 4.830



- Which value of ρ does entry 6 give?
  15.53 g/cm3